No. 1
Ba5Au4 | SCAN | single point on PBEsol structure

Lattice parameters (Å, degrees): 9.7027 9.7027 7.4972 90.00 90.00 120.00
Atoms (fractional coordinates):
Ba  0.0000  0.2656  0.2500
Ba  0.0000  0.7344  0.7500
Ba  0.2656  0.0000  0.2500
Ba  0.2656  0.2656  0.7500
Ba  0.3333  0.6667  0.0000
Ba  0.3333  0.6667  0.5000
Ba  0.6667  0.3333  0.0000
Ba  0.6667  0.3333  0.5000
Ba  0.7344  0.0000  0.7500
Ba  0.7344  0.7344  0.2500
Au  0.0000  0.0000  0.0000
Au  0.0000  0.0000  0.5000
Au  0.0000  0.3940  0.7500
Au  0.0000  0.6060  0.2500
Au  0.3940  0.0000  0.7500
Au  0.3940  0.3940  0.2500
Au  0.6060  0.0000  0.2500
Au  0.6060  0.6060  0.7500

Computed properties:
Its calculated formation energy is -0.732 eV/atom. As for the crystal system: hexagonal.

---

No. 2
Ba2Au3 | SCAN | single point on PBEsol structure

Lattice parameters (Å, degrees): 8.3027 8.3027 8.3027 33.29 33.29 33.29
Atoms (fractional coordinates):
Ba  0.0872  0.0872  0.0872
Ba  0.9128  0.9128  0.9128
Au  0.3336  0.3336  0.3336
Au  0.5000  0.5000  0.5000
Au  0.6664  0.6664  0.6664

Computed properties:
Its calculated formation energy is -0.864 eV/atom. As for the crystal system: trigonal.

---

Raw total energy: -480.96 -290.89 (eV/f.u.)